The following is a DFT calculation (GGA-PBE) of RbPaSN after structural relaxation.

The value obtained for the density of states at the Fermi level is 0.46 states/eV/atom. As for the space group: Cm.

a b c (Å): 3.7597 3.7594 7.9820
angles (deg): 90.10 103.60 120.00
Fractional positions:
1 Rb 0.9647 0.3816 0.3598
2 S 0.0993 0.9478 0.0620
3 Pa 0.2764 0.5356 0.8281
4 N 0.5375 0.1659 0.7198



The following is a DFT calculation (GGA-PBE) of RbPa2SiN5 after structural relaxation.

As for the space group: I4/mcm.

a b c (Å): 6.7512 6.7512 7.2675
angles (deg): 117.68 117.68 90.00
Fractional positions:
1 N 0.9973 0.4973 0.7301
2 N 0.5000 0.5000 0.0000
3 N 0.7673 0.0027 0.2699
4 N 0.0000 0.0000 0.0000
5 N 0.5027 0.2673 0.2699
6 N 0.4973 0.7327 0.7301
7 N 0.2327 0.9973 0.7301
8 N 0.2673 0.7673 0.2699
9 N 0.7327 0.2327 0.7301
10 N 0.0027 0.5027 0.2699
11 Si 0.7500 0.2500 0.5000
12 Si 0.2500 0.7500 0.5000
13 Rb 0.7500 0.7500 0.5000
14 Rb 0.2500 0.2500 0.5000
15 Pa 0.8080 0.6920 0.0000
16 Pa 0.1920 0.3080 0.0000
17 Pa 0.6920 0.1920 0.0000
18 Pa 0.3080 0.8080 0.0000



The following is a DFT calculation (GGA-PBE) of Rb3Pa3SiN8 after structural relaxation.

The value obtained for the density of states at the Fermi level is 0.77 states/eV/atom. As for the space group: C2/m.

a b c (Å): 6.6277 7.1173 7.9345
angles (deg): 117.17 90.00 117.75
Fractional positions:
1 Si 0.0000 0.0000 0.5000
2 Pa 0.5000 0.0000 0.5000
3 Pa 0.0000 0.5000 0.5000
4 Pa 0.5000 0.5000 0.5000
5 Rb 0.0000 0.0000 0.0000
6 Rb 0.5000 0.5000 0.0000
7 Rb 0.0000 0.5000 0.0000
8 N 0.7659 0.9413 0.6307
9 N 0.7269 0.4537 0.3094
10 N 0.7113 0.4226 0.6588
11 N 0.1754 0.9413 0.6307
12 N 0.2731 0.5463 0.6906
13 N 0.2341 0.0587 0.3693
14 N 0.8246 0.0587 0.3693
15 N 0.2887 0.5774 0.3412



The following is a DFT calculation (GGA-PBE) of RbPaSnN3 after structural relaxation.

The value obtained for the density of states at the Fermi level is 0.58 states/eV/atom. As for the space group: P2_1/m.

a b c (Å): 3.5409 7.3423 10.8877
angles (deg): 108.68 90.00 90.00
Fractional positions:
1 Sn 0.7500 0.8240 0.3988
2 Sn 0.2500 0.1760 0.6012
3 N 0.7500 0.4517 0.0850
4 N 0.2500 0.5483 0.9150
5 N 0.2500 0.6510 0.3538
6 N 0.7500 0.8642 0.2093
7 N 0.2500 0.1358 0.7907
8 N 0.7500 0.3490 0.6462
9 Rb 0.7500 0.7707 0.7530
10 Rb 0.2500 0.2293 0.2470
11 Pa 0.7500 0.3444 0.8642
12 Pa 0.2500 0.6556 0.1358



The following is a DFT calculation (GGA-PBE) of Rb4Pa3SnN8 after structural relaxation.

The value obtained for the density of states at the Fermi level is 0.81 states/eV/atom. As for the space group: C2/m.

a b c (Å): 7.0728 7.9104 7.1215
angles (deg): 116.63 119.77 90.00
Fractional positions:
1 N 0.2824 0.3477 0.5649
2 N 0.7176 0.6523 0.4351
3 N 0.2259 0.6633 0.4518
4 N 0.2830 0.3380 0.0599
5 N 0.7741 0.3367 0.5482
6 N 0.7769 0.3380 0.0599
7 N 0.2231 0.6620 0.9401
8 N 0.7170 0.6620 0.9401
9 Pa 0.5000 0.5000 0.0000
10 Pa 0.5000 0.5000 0.5000
11 Pa 0.0000 0.5000 0.5000
12 Rb 0.0000 0.0000 0.0000
13 Rb 0.5000 0.0000 0.0000
14 Rb 0.0000 0.0000 0.5000
15 Rb 0.5000 0.0000 0.5000
16 Sn 0.0000 0.5000 0.0000



The following is a DFT calculation (GGA-PBE) of Rb3Pa2TaN6 after structural relaxation.

As for the space group: C2/m.

a b c (Å): 6.0187 6.0187 7.0238
angles (deg): 98.19 98.19 120.01
Fractional positions:
1 N 0.7355 0.7355 0.1557
2 N 0.3682 0.0519 0.1560
3 N 0.9481 0.6318 0.8440
4 N 0.0519 0.3682 0.1560
5 N 0.2646 0.2646 0.8443
6 N 0.6318 0.9481 0.8440
7 Rb 0.5000 0.5000 0.5000
8 Rb 0.1624 0.8376 0.5000
9 Rb 0.8376 0.1624 0.5000
10 Ta 0.0000 0.0000 0.0000
11 Pa 0.6667 0.3332 0.0000
12 Pa 0.3332 0.6667 0.0000



The following is a DFT calculation (GGA-PBE) of RbPaTcN3 after structural relaxation.

The value obtained for the density of states at the Fermi level is 0.30 states/eV/atom. As for the space group: P2_1/m.

a b c (Å): 3.5347 9.5260 7.5632
angles (deg): 108.40 90.00 90.00
Fractional positions:
1 Rb 0.2500 0.2556 0.2743
2 Rb 0.7500 0.7444 0.7257
3 N 0.7500 0.7975 0.1300
4 N 0.2500 0.8463 0.4503
5 N 0.7500 0.1537 0.5497
6 N 0.2500 0.5007 0.8520
7 N 0.7500 0.4993 0.1480
8 N 0.2500 0.2025 0.8700
9 Pa 0.2500 0.6500 0.1567
10 Pa 0.7500 0.3500 0.8433
11 Tc 0.7500 0.9376 0.3806
12 Tc 0.2500 0.0624 0.6194



The following is a DFT calculation (GGA-PBE) of Rb2PaTc2N6 after structural relaxation.

The value obtained for the density of states at the Fermi level is 0.43 states/eV/atom. As for the space group: R-3m.

a b c (Å): 6.2406 6.2416 7.1477
angles (deg): 115.88 90.00 119.99
Fractional positions:
1 Rb 0.2783 0.5566 0.8347
2 Rb 0.7217 0.4434 0.1653
3 N 0.7438 0.9714 0.7146
4 N 0.7724 0.0286 0.2854
5 N 0.2562 0.0286 0.2854
6 N 0.7436 0.4872 0.7139
7 N 0.2564 0.5128 0.2861
8 N 0.2276 0.9714 0.7146
9 Tc 0.0709 0.1419 0.2132
10 Tc 0.9291 0.8581 0.7868
11 Pa 0.5000 0.0000 0.5000



Sequential formation energy without anion corrections output: -1.234, -1.091, -0.694, -0.588, -0.688, -0.985, -0.715, -0.437 eV per atom
Sequential volume output: 23.5, 13.9, 18.9, 22.3, 18.5, 17.6, 20.1, 18.9 A^3/atom